(1)
Below is an optimized crystal structure of Dy2Tm6Sc, with properties calculated at the PBE-GGA level.

Computed properties:
Symmetry ... C2/c
E above lowest polymorph ... 85 meV/atom
DOS at the Fermi energy ... 23.0 states/eV per cell
Formation energy from the elements ... 0.121 eV per atom

```
18
Lattice="6.2875 -6.9167 0.0000 6.2875 6.9167 0.0000 -1.4975 0.0000 6.2262" Properties=species:S:1:pos:R:3 pbc="T T T"
Dy 1.2214 0.3308 2.3090
Dy 0.4727 -0.3308 5.4221
Dy 10.6048 0.3308 0.8041
Dy 9.8561 -0.3308 3.9171
Tm 1.9620 2.7561 4.5626
Tm 4.3752 4.3037 6.2118
Tm 5.9536 4.3037 3.1275
Tm 4.3447 1.1939 1.2001
Tm 2.7108 -2.7561 1.4496
Tm 3.5960 -1.1939 4.3132
Tm 7.4816 1.1939 1.9130
Tm 8.3668 2.7561 4.7766
Tm 6.7328 -1.1939 5.0260
Tm 5.1239 -4.3037 3.0987
Tm 6.7023 -4.3037 0.0144
Tm 9.1155 -2.7561 1.6635
Sc 5.1644 1.6400 4.6696
Sc 5.9131 -1.6400 1.5565
```

---

(2)
Below is an optimized crystal structure of LuCo2Sn, with properties calculated at the PBE-GGA level.

Computed properties:
Symmetry ... P4/mmm
DOS at the Fermi energy ... 1.5 states/eV per cell
Formation energy from the elements ... -0.163 eV per atom

```
4
Lattice="3.2463 0.0000 0.0000 0.0000 3.2463 0.0000 0.0000 0.0000 6.2050" Properties=species:S:1:pos:R:3 pbc="T T T"
Lu 0.0000 0.0000 0.0000
Co 1.6232 1.6232 1.6777
Co 1.6232 1.6232 4.5273
Sn 0.0000 0.0000 3.1025
```

---

(3)
Below is an optimized crystal structure of BaMgBe, with properties calculated at the PBE-GGA level.

Computed properties:
Symmetry ... F-43m
E above lowest polymorph ... 310 meV/atom
DOS at the Fermi energy ... 16.2 states/eV per cell
Formation energy from the elements ... 0.495 eV per atom

```
12
Lattice="7.2559 0.0000 0.0000 0.0000 7.2559 0.0000 0.0000 0.0000 7.2559" Properties=species:S:1:pos:R:3 pbc="T T T"
Ba 0.0000 0.0000 0.0000
Ba 0.0000 3.6280 3.6280
Ba 3.6280 0.0000 3.6280
Ba 3.6280 3.6280 0.0000
Mg 0.0000 0.0000 3.6280
Mg 0.0000 3.6280 0.0000
Mg 3.6280 0.0000 0.0000
Mg 3.6280 3.6280 3.6280
Be 1.8140 1.8140 1.8140
Be 1.8140 5.4420 5.4420
Be 5.4420 1.8140 5.4420
Be 5.4420 5.4420 1.8140
```

---

(4)
Below is an optimized crystal structure of Na2NiS4, with properties calculated at the PBE-GGA level.

Computed properties:
Symmetry ... P1
E_form (uncorrected) ... -377 kJ/mol of formula units

```
14
Lattice="6.7813 0.0000 0.0000 0.6431 7.1102 0.0000 2.5103 2.9073 6.6320" Properties=species:S:1:pos:R:3 pbc="T T T"
Na 0.0000 0.0000 0.0000
Na 3.0193 5.8000 2.9472
Na 5.7327 6.0285 6.2369
Na 6.5908 2.6811 3.3508
Ni 3.8354 1.2245 2.4736
Ni 5.9778 4.5669 0.4795
S 0.4383 2.7484 0.4379
S 2.5960 3.0462 2.5184
S 3.8721 2.6880 4.1291
S 3.0042 0.3378 0.6922
S 5.7235 6.8499 3.4042
S 7.2361 8.9541 6.1809
S 6.8101 5.4593 2.2573
S 8.4529 6.0068 5.4580
```

---

(5)
Below is an optimized crystal structure of VZnRu2, with properties calculated at the PBE-GGA level.

Computed properties:
Symmetry ... R3m
DOS at the Fermi energy ... 14.2 states/eV per cell
Formation energy from the elements ... -0.078 eV per atom

```
12
Lattice="2.7939 0.0000 0.0000 -1.3969 2.4195 0.0000 0.0000 0.0000 24.9519" Properties=species:S:1:pos:R:3 pbc="T T T"
V 0.0000 0.0000 0.0000
V 0.0000 1.6130 16.6346
V 1.3969 0.8065 8.3173
Zn 0.0000 0.0000 4.1509
Zn 0.0000 1.6130 20.7855
Zn 1.3969 0.8065 12.4682
Ru 0.0000 0.0000 10.2801
Ru 0.0000 0.0000 14.6610
Ru 0.0000 1.6130 1.9628
Ru 0.0000 1.6130 6.3437
Ru 1.3969 0.8065 18.5974
Ru 1.3969 0.8065 22.9783
```

---

(6)
Below is an optimized crystal structure of BeZn2Re, with properties calculated at the PBE-GGA level.

Computed properties:
Symmetry ... F-43m
DOS at the Fermi energy ... 11.9 states/eV per cell
Formation energy from the elements ... 0.387 eV per atom

```
16
Lattice="5.9126 0.0000 0.0000 0.0000 5.9126 0.0000 0.0000 0.0000 5.9126" Properties=species:S:1:pos:R:3 pbc="T T T"
Be 0.0000 0.0000 0.0000
Be 0.0000 2.9563 2.9563
Be 2.9563 0.0000 2.9563
Be 2.9563 2.9563 0.0000
Zn 0.0000 0.0000 2.9563
Zn 0.0000 2.9563 0.0000
Zn 1.4781 1.4781 4.4344
Zn 1.4781 4.4344 1.4781
Zn 2.9563 0.0000 0.0000
Zn 2.9563 2.9563 2.9563
Zn 4.4344 1.4781 1.4781
Zn 4.4344 4.4344 4.4344
Re 1.4781 1.4781 1.4781
Re 1.4781 4.4344 4.4344
Re 4.4344 1.4781 4.4344
Re 4.4344 4.4344 1.4781
```

---

(7)
Below is an optimized crystal structure of KAs3I, with properties calculated at the PBE-GGA level.

Computed properties:
Symmetry ... Pm-3m
E_form (uncorrected) ... 707 kJ/mol of formula units
DOS at the Fermi energy ... 20.8 states/eV per cell

```
5
Lattice="6.5368 0.0000 0.0000 0.0000 6.5368 0.0000 0.0000 0.0000 6.5368" Properties=species:S:1:pos:R:3 pbc="T T T"
K 0.0000 0.0000 0.0000
As 0.0000 0.0000 3.2684
As 0.0000 3.2684 0.0000
As 3.2684 0.0000 0.0000
I 3.2684 3.2684 3.2684
```

---

(8)
Below is an optimized crystal structure of Rb3Na2, with properties calculated at the PBE-GGA level.

Computed properties:
Symmetry ... Fdd2
E above lowest polymorph ... 0 meV/atom
DOS at the Fermi energy ... 7.2 states/eV per cell
Formation energy from the elements ... 0.053 eV per atom

```
10
Lattice="0.0000 10.9981 3.9721 7.6392 0.0000 3.9721 7.6392 10.9981 0.0000" Properties=species:S:1:pos:R:3 pbc="T T T"
Rb 0.0000 0.0000 0.0000
Rb 3.8196 5.4991 1.9861
Rb 7.1046 8.6584 3.9829
Rb 8.1737 13.3378 3.9829
Rb 11.9933 14.1575 5.9689
Rb 10.9242 18.8369 5.9689
Na 7.8782 4.5443 3.7250
Na 11.2197 10.0434 5.7110
Na 7.4001 17.4519 3.7250
Na 4.0586 11.9529 5.7110
```